# 1
The following is a PBE-GGA calculation of a relaxed structure of La2PtAu2, from the Alexandria database.

Lattice parameters (Å, degrees): 5.885 5.885 11.932 110.08 110.08 41.34
Atoms (fractional coordinates):
La 0.021 0.021 0.344
La 0.185 0.185 0.117
La 0.815 0.815 0.883
La 0.979 0.979 0.656
Pt 0.297 0.297 0.696
Pt 0.703 0.703 0.304
Au 0.357 0.357 0.443
Au 0.456 0.456 0.107
Au 0.544 0.544 0.893
Au 0.643 0.643 0.557

Values from the calculation:
**Total magnetization**: 0.00 μB/cell
**ΔE_f**: -0.94 eV per atom
**Space group**: C2/m (12)
**Distance to the lowest polymorph of the same formula**: 0 meV per atom

# 2
The following is a PBE-GGA calculation of a relaxed structure of Ag5Hg3Br12, from the Alexandria database.

Lattice parameters (Å, degrees): 15.262 15.262 15.262 109.47 109.47 109.47
Atoms (fractional coordinates):
Ag 0.000 0.000 0.000
Ag 0.000 0.000 0.500
Ag 0.000 0.500 0.000
Ag 0.000 0.500 0.500
Ag 0.125 0.750 0.875
Ag 0.125 0.875 0.250
Ag 0.250 0.125 0.875
Ag 0.250 0.625 0.375
Ag 0.375 0.250 0.625
Ag 0.375 0.625 0.750
Ag 0.500 0.000 0.000
Ag 0.500 0.000 0.500
Ag 0.500 0.500 0.000
Ag 0.500 0.500 0.500
Ag 0.625 0.375 0.250
Ag 0.625 0.750 0.375
Ag 0.750 0.375 0.625
Ag 0.750 0.875 0.125
Ag 0.875 0.125 0.750
Ag 0.875 0.250 0.125
Hg 0.125 0.250 0.375
Hg 0.125 0.375 0.750
Hg 0.250 0.375 0.125
Hg 0.250 0.875 0.625
Hg 0.375 0.125 0.250
Hg 0.375 0.750 0.125
Hg 0.625 0.250 0.875
Hg 0.625 0.875 0.750
Hg 0.750 0.125 0.375
Hg 0.750 0.625 0.875
Hg 0.875 0.625 0.250
Hg 0.875 0.750 0.625
Br 0.011 0.651 0.170
Br 0.011 0.860 0.842
Br 0.018 0.158 0.670
Br 0.018 0.360 0.349
Br 0.140 0.158 0.989
Br 0.140 0.482 0.151
Br 0.151 0.140 0.482
Br 0.151 0.511 0.670
Br 0.158 0.670 0.018
Br 0.158 0.989 0.140
Br 0.170 0.011 0.651
Br 0.170 0.658 0.518
Br 0.330 0.849 0.489
Br 0.330 0.982 0.842
Br 0.342 0.360 0.511
Br 0.342 0.482 0.830
Br 0.349 0.018 0.360
Br 0.349 0.830 0.989
Br 0.360 0.349 0.018
Br 0.360 0.511 0.342
Br 0.482 0.151 0.140
Br 0.482 0.830 0.342
Br 0.489 0.330 0.849
Br 0.489 0.658 0.640
Br 0.511 0.342 0.360
Br 0.511 0.670 0.151
Br 0.518 0.170 0.658
Br 0.518 0.849 0.860
Br 0.640 0.489 0.658
Br 0.640 0.651 0.982
Br 0.651 0.170 0.011
Br 0.651 0.982 0.640
Br 0.658 0.518 0.170
Br 0.658 0.640 0.489
Br 0.670 0.018 0.158
Br 0.670 0.151 0.511
Br 0.830 0.342 0.482
Br 0.830 0.989 0.349
Br 0.842 0.011 0.860
Br 0.842 0.330 0.982
Br 0.849 0.489 0.330
Br 0.849 0.860 0.518
Br 0.860 0.518 0.849
Br 0.860 0.842 0.011
Br 0.982 0.640 0.651
Br 0.982 0.842 0.330
Br 0.989 0.140 0.158
Br 0.989 0.349 0.830

Values from the calculation:
**Total magnetization**: 0.00 μB/cell
**Space group**: Ia-3d (230)
**Uncorrected formation energy**: -539 kJ/mol of formula units

# 3
The following is a PBE-GGA calculation of a relaxed structure of YHgW2, from the Alexandria database.

Lattice parameters (Å, degrees): 6.315 6.315 6.315 100.64 100.64 129.10
Atoms (fractional coordinates):
Y 0.000 0.000 0.000
Y 0.750 0.250 0.500
Hg 0.250 0.750 0.500
Hg 0.500 0.500 0.000
W 0.157 0.125 0.532
W 0.375 0.843 0.968
W 0.593 0.625 0.468
W 0.875 0.407 0.032

Values from the calculation:
**Total magnetization**: 0.01 μB/cell
**ΔE_f**: 1.25 eV per atom
**Space group**: I-42d (122)

# 4
The following is a PBE-GGA calculation of a relaxed structure of NdU2N3, from the Alexandria database.

Lattice parameters (Å, degrees): 6.605 6.605 5.370 90.00 90.00 84.45
Atoms (fractional coordinates):
Nd 0.131 0.869 0.750
Nd 0.869 0.131 0.250
U 0.323 0.323 0.000
U 0.323 0.323 0.500
U 0.677 0.677 0.000
U 0.677 0.677 0.500
N 0.088 0.230 0.750
N 0.230 0.088 0.250
N 0.419 0.581 0.250
N 0.581 0.419 0.750
N 0.770 0.912 0.750
N 0.912 0.770 0.250

Values from the calculation:
**Total magnetization**: 5.25 μB/cell
**Space group**: Cmcm (63)
**Uncorrected formation energy**: -272 kJ/mol of formula units